[1]
Material: Fe3Co
Method: DFT, SCAN
State: single point on PBEsol structure

Calculated values
**Size of the total moment**: 19.3 Bohr magnetons per cell
**Fermi-level density of states**: 0.397 states/eV/atom
**E_form**: -0.118 eV per atom

a = 2.784 Å, b = 3.954 Å, c = 7.938 Å
α = 90.00°, β = 90.00°, γ = 90.00°
Space group Pmma (No. 51)
Symmetry-distinct sites (fractional):
Fe: 0.250 0.000 0.125
Fe: 0.250 0.000 0.625
Fe: 0.250 0.500 0.374
Co: 0.250 0.500 0.875

[2]
Material: BaHfSn2B
Method: DFT, SCAN
State: single point on PBEsol structure

Calculated values
**Size of the total moment**: 0.0 Bohr magnetons per cell
**Fermi-level density of states**: 0.380 states/eV/atom
**E_form**: 0.088 eV per atom

a = 5.447 Å, b = 5.447 Å, c = 4.689 Å
α = 90.00°, β = 90.00°, γ = 90.00°
Space group P4/mmm (No. 123)
Symmetry-distinct sites (fractional):
Ba: 0.000 0.000 0.000
Hf: 0.500 0.500 0.500
Sn: 0.000 0.500 0.500
B: 0.500 0.500 0.000

[3]
Material: V3CoH
Method: DFT, SCAN
State: single point on PBEsol structure

Calculated values
**Size of the total moment**: 0.0 Bohr magnetons per cell
**Fermi-level density of states**: 1.323 states/eV/atom

a = 3.709 Å, b = 3.709 Å, c = 3.709 Å
α = 90.00°, β = 90.00°, γ = 90.00°
Space group Pm-3m (No. 221)
Symmetry-distinct sites (fractional):
V: 0.000 0.000 0.500
Co: 0.500 0.500 0.500
H: 0.000 0.000 0.000

Here are the calculated E numbers, same order: -144.33 -181.06 -73.21 (eV/cell).
Here are the calculated volume numbers, same order: 10.92 27.82 10.21 (A^3/atom).